No. 1
## CuReTc2 (GGA-PBE)

Data for crystalline CuReTc2 at its relaxed geometry.

Lattice parameters (Å, degrees): 3.158 3.158 5.669 90.00 90.00 90.00
Fractional coordinates of all 4 atoms:
Tc 0.000 0.000 0.995
Tc 0.500 0.500 0.273
Cu 0.000 0.000 0.500
Re 0.500 0.500 0.732

Output
**ΔH_f (0 K)**: 0.306 eV/atom
**N(E_F)**: 1.065 states/eV per atom
**Total magnetization**: 0.000 μB per atom
**SG**: No. 99
**Offset from the most stable computed form**: 62.1 kJ/mol of formula units

***

No. 2
## CdMoN (GGA-PBE)

Data for crystalline CdMoN at its relaxed geometry.

Lattice parameters (Å, degrees): 2.993 2.993 10.509 90.00 90.00 90.00
Fractional coordinates of all 6 atoms:
Cd 0.500 0.000 0.118
Cd 0.000 0.500 0.882
N 0.500 0.000 0.615
N 0.000 0.500 0.385
Mo 0.500 0.000 0.409
Mo 0.000 0.500 0.591

Output
**N(E_F)**: 0.549 states/eV per atom
**Total magnetization**: 0.000 μB per atom
**SG**: No. 129
**Raw formation energy**: -0.01 eV per atom

***

No. 3
## K2In2Au15 (GGA-PBE)

Data for crystalline K2In2Au15 at its relaxed geometry.

Lattice parameters (Å, degrees): 7.418 7.418 7.418 84.22 84.22 84.22
Fractional coordinates of all 19 atoms:
Au 0.000 0.000 0.500
Au 0.342 0.842 0.342
Au 0.158 0.658 0.658
Au 0.842 0.342 0.342
Au 0.500 0.000 0.000
Au 0.000 0.316 0.684
Au 0.658 0.658 0.158
Au 0.000 0.500 0.000
Au 0.684 0.000 0.316
Au 0.684 0.316 0.000
Au 0.316 0.684 0.000
Au 0.658 0.158 0.658
Au 0.000 0.684 0.316
Au 0.316 0.000 0.684
Au 0.342 0.342 0.842
K 0.646 0.646 0.646
K 0.354 0.354 0.354
In 0.896 0.896 0.896
In 0.104 0.104 0.104

Output
**ΔH_f (0 K)**: -0.155 eV/atom
**N(E_F)**: 0.222 states/eV per atom
**Total magnetization**: 0.000 μB per atom
**SG**: No. 166

***

No. 4
## Mg4H3Ir3 (GGA-PBE)

Data for crystalline Mg4H3Ir3 at its relaxed geometry.

Lattice parameters (Å, degrees): 4.747 4.822 5.765 98.45 98.70 102.86
Fractional coordinates of all 10 atoms:
H 0.745 0.153 0.251
H 0.291 0.669 0.561
H 0.519 0.412 0.906
Mg 0.132 0.107 0.652
Mg 0.740 0.527 0.632
Mg 0.906 0.718 0.160
Mg 0.298 0.298 0.180
Ir 0.519 0.912 0.406
Ir 0.736 0.147 0.931
Ir 0.302 0.677 0.881

Output
**N(E_F)**: 0.195 states/eV per atom
**Total magnetization**: 0.000 μB per atom
**SG**: No. 1
**Offset from the most stable computed form**: 113.4 kJ/mol of formula units

***

No. 5
## LaPrGaPt (GGA-PBE)

Data for crystalline LaPrGaPt at its relaxed geometry.

Lattice parameters (Å, degrees): 5.249 5.249 5.249 60.00 60.00 60.00
Fractional coordinates of all 4 atoms:
Pr 0.000 0.000 0.000
Ga 0.250 0.250 0.250
Pt 0.750 0.750 0.750
La 0.500 0.500 0.500

Output
**ΔH_f (0 K)**: -0.724 eV/atom
**N(E_F)**: 0.972 states/eV per atom
**Total magnetization**: 0.000 μB per atom
**SG**: No. 216
**Offset from the most stable computed form**: 48.7 kJ/mol of formula units

***

No. 6
## NaLaFe (GGA-PBE)

Data for crystalline NaLaFe at its relaxed geometry.

Lattice parameters (Å, degrees): 3.975 3.976 13.829 90.03 81.69 60.00
Fractional coordinates of all 6 atoms:
Na 0.756 0.394 0.902
Na 0.573 0.983 0.680
Fe 0.498 0.522 0.293
Fe 0.834 0.854 0.289
La 0.260 0.141 0.148
La 0.072 0.235 0.434

Output
**ΔH_f (0 K)**: 0.009 eV/atom
**N(E_F)**: 0.815 states/eV per atom
**Total magnetization**: 0.390 μB per atom
**SG**: No. 1